A PBEsol-optimized structure of TcP2OF, computed with meta-GGA SCAN.

## Properties
* M_tot: 0.0 μB/f.u.
* ΔE_f (raw): -1.27 eV/f.u.
* D(E_F): 2.2 states/eV/f.u.
* calculated density: 4.18 g/cm³

Lattice parameters (Å, degrees): 3.640 4.613 4.613 90.00 90.00 90.00
Fractional positions:
Tc: 0.000 0.000 0.000
P: 0.000 0.500 0.000
P: 0.000 0.000 0.500
F: 0.500 0.500 0.500
O: 0.500 0.000 0.000